This record from Alexandria describes a relaxed structure of Rb2ZrCoI6. The functional is PBE.

Calculated values
Electronic total energy   -3.439 eV/atom
DOS at the Fermi energy   26.1 states/eV/cell
E_form (uncorrected)   -0.750 eV/atom

Cell and atoms, written as CIF:
```
data_Rb2ZrCoI6
_space_group_name_H-M_alt 'I 4/m m m'
_space_group_IT_number 139
_space_group_name_Hall '-I 4 2'
_cell_length_a 8.166
_cell_length_b 8.166
_cell_length_c 11.518
_cell_angle_alpha 90.00
_cell_angle_beta 90.00
_cell_angle_gamma 90.00
loop_
_atom_site_label
_atom_site_fract_x
_atom_site_fract_y
_atom_site_fract_z
Rb1 0.000 0.500 0.250
Zr1 0.000 0.000 0.000
Co1 0.000 0.000 0.500
I1 0.000 0.000 0.254
I2 0.245 0.245 0.500
```

---

This record from Alexandria describes a relaxed structure of MgSiRh. The functional is PBE.

Calculated values
Electronic total energy   -5.365 eV/atom
DOS at the Fermi energy   1.9 states/eV/cell
E_form (uncorrected)   -0.575 eV/atom

Cell and atoms, written as CIF:
```
data_MgSiRh
_space_group_name_H-M_alt 'P 1 21/m 1'
_space_group_IT_number 11
_space_group_name_Hall '-P 2yb'
_cell_length_a 4.812
_cell_length_b 4.179
_cell_length_c 5.496
_cell_angle_alpha 90.00
_cell_angle_beta 111.67
_cell_angle_gamma 90.00
loop_
_atom_site_label
_atom_site_fract_x
_atom_site_fract_y
_atom_site_fract_z
Mg1 0.192 0.250 0.420
Si1 0.370 0.750 0.062
Rh1 0.115 0.250 0.886
```

---

This record from Alexandria describes a relaxed structure of MgAs2I8. The functional is PBE.

Calculated values
Electronic total energy   -2.512 eV/atom
Excess energy over the best structure of this formula in the dataset   0 meV/atom
DOS at the Fermi energy   0.0 states/eV/cell
E_form (uncorrected)   -0.395 eV/atom

Cell and atoms, written as CIF:
```
data_MgAs2I8
_space_group_name_H-M_alt 'P -1'
_space_group_IT_number 2
_space_group_name_Hall '-P 1'
_cell_length_a 4.182
_cell_length_b 10.339
_cell_length_c 11.323
_cell_angle_alpha 93.38
_cell_angle_beta 100.02
_cell_angle_gamma 90.70
loop_
_atom_site_label
_atom_site_fract_x
_atom_site_fract_y
_atom_site_fract_z
Mg1 0.000 0.000 0.000
As1 0.441 0.259 0.749
I1 0.020 0.717 0.059
I2 0.190 0.815 0.422
I3 0.411 0.505 0.712
I4 0.421 0.946 0.823
```

---

This record from Alexandria describes a relaxed structure of Cs4K2Tl. The functional is PBE.

Calculated values
Electronic total energy   -1.064 eV/atom
DOS at the Fermi energy   18.3 states/eV/cell

Cell and atoms, written as CIF:
```
data_Cs4K2Tl
_space_group_name_H-M_alt 'I 4/m m m'
_space_group_IT_number 139
_space_group_name_Hall '-I 4 2'
_cell_length_a 7.479
_cell_length_b 7.479
_cell_length_c 23.681
_cell_angle_alpha 90.00
_cell_angle_beta 90.00
_cell_angle_gamma 90.00
loop_
_atom_site_label
_atom_site_fract_x
_atom_site_fract_y
_atom_site_fract_z
Cs1 0.000 0.000 0.170
Cs2 0.000 0.500 0.000
K1 0.000 0.000 0.369
Tl1 0.000 0.000 0.000
```